Compound: MgHgRh2Cl
Source: the Alexandria database
Functional: PBEsol
Structure: optimized geometry

Structure (CIF):
```
data_MgHgRh2Cl
_chemical_formula_sum 'Mg1 Hg1 Rh2 Cl1'
_space_group_name_H-M_alt 'P 4/m m m'
_space_group_IT_number 123
_space_group_name_Hall '-P 4 2'
_cell_length_a 4.6783
_cell_length_b 4.6783
_cell_length_c 4.9472
_cell_angle_alpha 90.00
_cell_angle_beta 90.00
_cell_angle_gamma 90.00
loop_
_atom_site_label
_atom_site_fract_x
_atom_site_fract_y
_atom_site_fract_z
Mg1 0.0000 0.0000 0.0000
Hg1 0.0000 0.0000 0.5000
Rh1 0.0000 0.5000 0.0000
Cl1 0.5000 0.5000 0.5000
```

Results
V, Å³/f.u.: 108
E_form (uncorrected), eV per atom: 1.123
Magnetic moment, μB/atom: 0.331
Crystal system: tetragonal